DFT (GGA-PBE) results for a relaxed CaZn3C4O12 crystal.

Geometry as POSCAR:
```
CaZn3C4O12
1.0
6.173 0.055 0.076
-1.434 6.004 0.076
-1.434 -1.834 5.718
Zn O C Ca
3 12 4 1
Direct
0.000 0.536 0.464 Zn
0.464 0.000 0.536 Zn
0.536 0.464 0.000 Zn
0.634 0.500 0.366 O
0.815 0.023 0.622 O
0.905 0.500 0.095 O
0.977 0.185 0.378 O
0.500 0.366 0.634 O
0.095 0.905 0.500 O
0.366 0.634 0.500 O
0.378 0.977 0.185 O
0.500 0.095 0.905 O
0.185 0.378 0.977 O
0.023 0.622 0.815 O
0.622 0.815 0.023 O
0.040 0.500 0.960 C
0.500 0.960 0.040 C
0.960 0.040 0.500 C
0.500 0.500 0.500 C
0.000 0.000 0.000 Ca
```

Values from the calculation:
The calculation puts the uncorrected formation energy at -1603 meV/atom.